# 1
This record from Alexandria describes an optimized crystal structure of Ba2MgFe. The functional is PBE-GGA.

The structure in extended XYZ format:
```
4
Lattice="1.9786 -5.1667 -1.2399 -1.2107 -4.3863 3.3825 -3.5544 -4.0476 -1.7692" Properties=species:S:1:pos:R:3 pbc="T T T"
Ba -0.6966 -3.4002 0.0934
Fe -1.3933 -6.8003 0.1867
Ba -2.0899 -10.2005 0.2801
Mg 0.0000 0.0000 0.0000
```

**DFT total energy**: -0.2036 Ry per atom
**Formation energy from the elements**: 706 meV/atom
**Crystal system**: cubic
**Space-group type**: Fm-3m, No. 225



# 2
This record from Alexandria describes an optimized crystal structure of BaMgFe. The functional is PBE-GGA.

The structure in extended XYZ format:
```
3
Lattice="-3.8027 2.6982 2.0726 -4.8359 -1.4948 -0.6454 -2.6289 -1.9043 3.9369" Properties=species:S:1:pos:R:3 pbc="T T T"
Ba -5.6337 -0.3504 2.6821
Mg 0.0000 0.0000 0.0000
Fe -8.4506 -0.5256 4.0231
```

**DFT total energy**: -0.2421 Ry per atom
**Formation energy from the elements**: 700 meV/atom
**Crystal system**: cubic
**Space-group type**: F-43m, No. 216



# 3
This record from Alexandria describes an optimized crystal structure of BaMg6Fe. The functional is PBE-GGA.

The structure in extended XYZ format:
```
8
Lattice="3.0926 -6.8200 0.0000 3.0926 6.8200 0.0000 0.0000 0.0000 4.9725" Properties=species:S:1:pos:R:3 pbc="T T T"
Mg 4.7070 0.9994 0.0000
Mg 1.4782 0.9994 0.0000
Mg 4.5773 -0.7997 2.4863
Mg 3.0926 -2.8957 0.0000
Fe 3.0926 -5.4011 2.4863
Mg 1.6079 -0.7997 2.4863
Mg 3.0926 5.1284 0.0000
Ba 3.0926 2.7691 2.4863
```

**DFT total energy**: -0.1653 Ry per atom
**Formation energy from the elements**: 244 meV/atom
**Crystal system**: orthorhombic
**Space-group type**: Amm2, No. 38



# 4
This record from Alexandria describes an optimized crystal structure of Ba2MgFe. The functional is PBE-GGA.

The structure in extended XYZ format:
```
4
Lattice="4.4450 -0.1646 0.0479 2.9025 3.3706 0.0479 1.3962 0.6092 9.9565" Properties=species:S:1:pos:R:3 pbc="T T T"
Ba 4.3700 1.9068 5.4472
Ba 1.3981 0.6100 9.5355
Fe 6.5578 2.8614 7.5393
Mg 2.1859 0.9538 2.5131
```

**DFT total energy**: -0.2123 Ry per atom
**Formation energy from the elements**: 588 meV/atom
**Crystal system**: monoclinic
**Space-group type**: C2/m, No. 12



# 5
This record from Alexandria describes an optimized crystal structure of BaMgFe2. The functional is PBE-GGA.

The structure in extended XYZ format:
```
4
Lattice="-1.7887 -2.7469 3.8841 4.0627 -3.1398 -0.3496 1.6497 1.9004 2.1037" Properties=species:S:1:pos:R:3 pbc="T T T"
Mg -0.0695 -0.4232 2.9939
Ba 2.8562 -0.6197 0.8770
Fe 0.0000 0.0000 0.0000
Fe 1.1370 -2.9433 1.7673
```

**DFT total energy**: -0.3110 Ry per atom
**Formation energy from the elements**: 879 meV/atom
**Crystal system**: orthorhombic
**Space-group type**: Pmmm, No. 47



# 6
This record from Alexandria describes an optimized crystal structure of Ba2MgFe. The functional is PBE-GGA.

The structure in extended XYZ format:
```
4
Lattice="4.0636 0.0000 0.0000 0.0000 5.9563 0.0000 0.0000 0.0000 5.9563" Properties=species:S:1:pos:R:3 pbc="T T T"
Ba 0.0000 2.9781 2.9781
Ba 0.0000 0.0000 0.0000
Fe 2.0318 2.9781 0.0000
Mg 2.0318 0.0000 2.9781
```

**DFT total energy**: -0.2201 Ry per atom
**Formation energy from the elements**: 480 meV/atom
**Crystal system**: tetragonal
**Space-group type**: P4/mmm, No. 123



# 7
This record from Alexandria describes an optimized crystal structure of BaMgFe2. The functional is PBE-GGA.

The structure in extended XYZ format:
```
4
Lattice="4.7798 -0.0630 0.0071 3.0826 3.6535 0.0071 2.4068 1.0991 5.7325" Properties=species:S:1:pos:R:3 pbc="T T T"
Fe 4.9605 2.2653 1.8624
Mg 2.5673 1.1724 1.4367
Fe 8.0364 3.6700 1.0252
Ba 7.7019 3.5172 4.3101
```

**DFT total energy**: -0.3427 Ry per atom
**Formation energy from the elements**: 448 meV/atom
**Crystal system**: monoclinic
**Space-group type**: C2/m, No. 12



# 8
This record from Alexandria describes an optimized crystal structure of BaMgFe. The functional is PBE-GGA.

The structure in extended XYZ format:
```
3
Lattice="4.7805 0.0000 0.0000 -2.3902 4.1400 0.0000 0.0000 0.0000 4.6834" Properties=species:S:1:pos:R:3 pbc="T T T"
Mg 0.0000 2.7600 2.3513
Fe 2.3903 1.3800 2.3316
Ba 0.0000 0.0000 0.0004
```

**DFT total energy**: -0.2520 Ry per atom
**Formation energy from the elements**: 564 meV/atom
**Crystal system**: trigonal
**Space-group type**: P3m1, No. 156



# 9
This record from Alexandria describes an optimized crystal structure of BaMgFe2. The functional is PBE-GGA.

The structure in extended XYZ format:
```
4
Lattice="-2.0964 -1.1644 2.8247 2.5495 -3.3837 0.4974 4.7867 1.5302 4.1833" Properties=species:S:1:pos:R:3 pbc="T T T"
Mg 2.9642 -1.2153 1.6990
Fe 0.7142 -0.4174 0.3580
Ba 4.8163 -1.9986 5.1810
Fe 0.4132 -0.3133 2.6078
```

**DFT total energy**: -0.3400 Ry per atom
**Formation energy from the elements**: 485 meV/atom
**Crystal system**: orthorhombic
**Space-group type**: Amm2, No. 38



# 10
This record from Alexandria describes an optimized crystal structure of BaMgFe2. The functional is PBE-GGA.

The structure in extended XYZ format:
```
4
Lattice="4.0480 -0.0069 0.0061 2.0312 3.5015 0.0061 2.0126 1.1569 6.8636" Properties=species:S:1:pos:R:3 pbc="T T T"
Ba 6.0666 3.4873 5.5923
Fe 2.0245 1.1638 1.1194
Fe 6.0774 3.4935 1.1151
Mg 4.0487 2.3274 2.4990
```

**DFT total energy**: -0.3485 Ry per atom
**Formation energy from the elements**: 369 meV/atom
**Crystal system**: trigonal
**Space-group type**: R3m, No. 160



# 11
This record from Alexandria describes an optimized crystal structure of BaMgFe2. The functional is PBE-GGA.

The structure in extended XYZ format:
```
4
Lattice="-1.4697 -3.3200 0.0438 3.2468 -1.4273 0.7595 -1.3134 0.6721 6.8778" Properties=species:S:1:pos:R:3 pbc="T T T"
Mg 0.5602 -2.2056 2.1211
Fe -0.1250 0.0640 0.6549
Ba -0.0964 -1.8696 5.5600
Fe -0.5316 0.2721 2.7841
```

**DFT total energy**: -0.3350 Ry per atom
**Formation energy from the elements**: 553 meV/atom
**Crystal system**: tetragonal
**Space-group type**: P4/mmm, No. 123



# 12
This record from Alexandria describes an optimized crystal structure of BaMgFe2. The functional is PBE-GGA.

The structure in extended XYZ format:
```
4
Lattice="3.6007 -3.3755 1.0987 0.2435 -2.0208 4.6286 -1.2178 -4.8565 0.7056" Properties=species:S:1:pos:R:3 pbc="T T T"
Fe 1.9698 -7.6896 4.8246
Mg 0.0000 0.0000 0.0000
Fe 0.6566 -2.5632 1.6082
Ba 1.3132 -5.1264 3.2164
```

**DFT total energy**: -0.3111 Ry per atom
**Formation energy from the elements**: 877 meV/atom
**Crystal system**: cubic
**Space-group type**: Fm-3m, No. 225